No. 1
{"formula": "K2Pu3InO12", "functional": "GGA-PBE", "state": "optimized geometry", "m_tot_mub_per_cell": 5.0, "raw_formation_energy_mev_per_atom": -2238, "rho_g_cm3": 5.6, "volume_a3_per_cell": 333, "final_energy_ev_per_atom": -8.21, "spacegroup": "No. 166", "cell": [[7.624, -0.158, -0.112], [3.628, 6.708, -0.112], [3.628, 2.112, 6.368]], "species": ["O", "O", "O", "K", "O", "In", "O", "O", "O", "Pu", "O", "Pu", "O", "O", "O", "K", "Pu", "O"], "frac_coords": [[0.071, 0.669, 0.071], [0.059, 0.688, 0.688], [0.941, 0.312, 0.312], [0.341, 0.341, 0.341], [0.929, 0.929, 0.331], [0.000, 0.000, 0.000], [0.331, 0.929, 0.929], [0.688, 0.059, 0.688], [0.688, 0.688, 0.059], [0.000, 0.500, 0.000], [0.669, 0.071, 0.071], [0.500, 0.000, 0.000], [0.312, 0.941, 0.312], [0.929, 0.331, 0.929], [0.312, 0.312, 0.941], [0.659, 0.659, 0.659], [0.000, 0.000, 0.500], [0.071, 0.071, 0.669]]}

No. 2
{"formula": "CaSbW2", "functional": "GGA-PBE", "state": "optimized geometry", "m_tot_mub_per_cell": 0.0, "raw_formation_energy_mev_per_atom": 1225, "rho_g_cm3": 9.6, "volume_a3_per_cell": 182, "final_energy_ev_per_atom": -6.78, "spacegroup": "No. 122", "cell": [[8.145, 0.000, 0.000], [0.000, 8.145, 0.000], [4.072, 4.072, 2.748]], "species": ["W", "Ca", "W", "Sb", "Sb", "Ca", "W", "W"], "frac_coords": [[0.077, 0.625, 0.250], [0.500, 0.500, 0.000], [0.875, 0.923, 0.750], [0.750, 0.250, 0.500], [0.000, 0.000, 0.000], [0.250, 0.750, 0.500], [0.673, 0.125, 0.250], [0.375, 0.327, 0.750]]}